1.
Density functional theory data (PBE) for an optimized crystal structure of ZnFe2Sb2.

Cell lengths 6.835, 6.835, 3.463 Å; angles 90.00, 90.00, 90.00 degrees
Fractional positions:
Zn  0.000  0.000  0.000
Zn  0.500  0.500  0.000
Fe  0.139  0.361  0.000
Fe  0.361  0.861  0.000
Fe  0.639  0.139  0.000
Fe  0.861  0.639  0.000
Sb  0.159  0.659  0.500
Sb  0.341  0.159  0.500
Sb  0.659  0.841  0.500
Sb  0.841  0.341  0.500

Properties
- raw formation energy (meV per atom) = 271

***

2.
Density functional theory data (PBE) for an optimized crystal structure of HoHfTcNi.

Cell lengths 4.665, 4.665, 4.665 Å; angles 60.00, 60.00, 60.00 degrees
Fractional positions:
Ho  0.000  0.000  0.000
Hf  0.500  0.500  0.500
Tc  0.250  0.250  0.250
Ni  0.750  0.750  0.750

Properties
- VASP energy (eV per atom) = -7.979

***

3.
Density functional theory data (PBE) for an optimized crystal structure of Sc2SiP.

Cell lengths 4.629, 4.629, 4.629 Å; angles 60.00, 60.00, 60.00 degrees
Fractional positions:
Sc  0.000  0.000  0.000
Sc  0.250  0.250  0.250
Si  0.500  0.500  0.500
P  0.750  0.750  0.750

Properties
- raw formation energy (meV per atom) = -73
- distance to the lowest polymorph of the same formula (kJ/mol of formula units) = 416

***

| no. | D(E_F) (states/eV/atom) |
| --- | --- |
| 1 | 0.6538 |
| 2 | 0.6121 |
| 3 | 1.3266 |